[1]
Entry from the Alexandria database: crystalline Ba3SrLi3 at its relaxed geometry (PBE-GGA).

CIF file:
```
data_Ba3SrLi3
_chemical_formula_sum 'Ba6 Sr2 Li6'
_cell_length_a 9.379
_cell_length_b 9.379
_cell_length_c 9.379
_cell_angle_alpha 90.00
_cell_angle_beta 90.00
_cell_angle_gamma 90.00
_space_group_name_H-M_alt 'P 1'
_space_group_IT_number 1
loop_
_space_group_symop_operation_xyz
'x,y,z'
loop_
_atom_site_label
_atom_site_type_symbol
_atom_site_fract_x
_atom_site_fract_y
_atom_site_fract_z
_atom_site_occupancy
Ba1 Ba 0.000 0.500 0.250 1
Ba2 Ba 0.500 0.750 0.000 1
Ba3 Ba 0.000 0.500 0.750 1
Ba4 Ba 0.500 0.250 0.000 1
Ba5 Ba 0.250 0.000 0.500 1
Ba6 Ba 0.750 0.000 0.500 1
Li1 Li 0.500 0.000 0.250 1
Li2 Li 0.000 0.750 0.500 1
Li3 Li 0.750 0.500 0.000 1
Li4 Li 0.500 0.000 0.750 1
Li5 Li 0.000 0.250 0.500 1
Li6 Li 0.250 0.500 0.000 1
Sr1 Sr 0.000 0.000 0.000 1
Sr2 Sr 0.500 0.500 0.500 1
```

- total magnetization (μB/f.u.) = 1.67
- formation enthalpy at 0 K (eV per atom) = 0.517
- space group = No. 223

---

[2]
Entry from the Alexandria database: crystalline Ba6SrLi6 at its relaxed geometry (PBE-GGA).

CIF file:
```
data_Ba6SrLi6
_chemical_formula_sum 'Ba6 Sr1 Li6'
_cell_length_a 7.198
_cell_length_b 9.648
_cell_length_c 9.648
_cell_angle_alpha 83.26
_cell_angle_beta 68.10
_cell_angle_gamma 68.10
_space_group_name_H-M_alt 'P 1'
_space_group_IT_number 1
loop_
_space_group_symop_operation_xyz
'x,y,z'
loop_
_atom_site_label
_atom_site_type_symbol
_atom_site_fract_x
_atom_site_fract_y
_atom_site_fract_z
_atom_site_occupancy
Ba1 Ba 0.662 0.338 0.338 1
Ba2 Ba 0.000 0.331 0.669 1
Ba3 Ba 0.000 0.669 0.331 1
Ba4 Ba 0.327 0.173 0.173 1
Ba5 Ba 0.338 0.662 0.662 1
Ba6 Ba 0.673 0.827 0.827 1
Li1 Li 0.500 0.000 0.500 1
Li2 Li 0.000 0.500 0.000 1
Li3 Li 0.500 0.500 0.000 1
Li4 Li 0.500 0.235 0.765 1
Li5 Li 0.000 0.000 0.500 1
Li6 Li 0.500 0.765 0.235 1
Sr1 Sr 0.000 0.000 0.000 1
```

- total magnetization (μB/f.u.) = 0.00
- formation enthalpy at 0 K (eV per atom) = 0.088
- space group = No. 71

---

[3]
Entry from the Alexandria database: crystalline BaSr5Li at its relaxed geometry (PBE-GGA).

CIF file:
```
data_BaSr5Li
_chemical_formula_sum 'Ba1 Sr5 Li1'
_cell_length_a 5.996
_cell_length_b 5.996
_cell_length_c 10.441
_cell_angle_alpha 90.00
_cell_angle_beta 90.00
_cell_angle_gamma 90.00
_space_group_name_H-M_alt 'P 1'
_space_group_IT_number 1
loop_
_space_group_symop_operation_xyz
'x,y,z'
loop_
_atom_site_label
_atom_site_type_symbol
_atom_site_fract_x
_atom_site_fract_y
_atom_site_fract_z
_atom_site_occupancy
Sr1 Sr 0.000 0.500 0.697 1
Sr2 Sr 0.000 0.500 0.303 1
Sr3 Sr 0.500 0.000 0.303 1
Sr4 Sr 0.500 0.500 0.000 1
Sr5 Sr 0.500 0.000 0.697 1
Li1 Li 0.000 0.000 0.500 1
Ba1 Ba 0.000 0.000 0.000 1
```

- total magnetization (μB/f.u.) = 0.00
- formation enthalpy at 0 K (eV per atom) = 0.077
- space group = No. 123

---

[4]
Entry from the Alexandria database: crystalline Ba2SrLi at its relaxed geometry (PBE-GGA).

CIF file:
```
data_Ba2SrLi
_chemical_formula_sum 'Ba2 Sr1 Li1'
_cell_length_a 7.527
_cell_length_b 7.527
_cell_length_c 7.527
_cell_angle_alpha 135.07
_cell_angle_beta 135.07
_cell_angle_gamma 65.43
_space_group_name_H-M_alt 'P 1'
_space_group_IT_number 1
loop_
_space_group_symop_operation_xyz
'x,y,z'
loop_
_atom_site_label
_atom_site_type_symbol
_atom_site_fract_x
_atom_site_fract_y
_atom_site_fract_z
_atom_site_occupancy
Ba1 Ba 0.000 0.000 0.000 1
Ba2 Ba 0.250 0.750 0.500 1
Sr1 Sr 0.750 0.250 0.500 1
Li1 Li 0.500 0.500 0.000 1
```

- total magnetization (μB/f.u.) = 0.00
- formation enthalpy at 0 K (eV per atom) = 0.107
- space group = No. 119

---

[5]
Entry from the Alexandria database: crystalline Ba2SrLi at its relaxed geometry (PBE-GGA).

CIF file:
```
data_Ba2SrLi
_chemical_formula_sum 'Ba2 Sr1 Li1'
_cell_length_a 4.386
_cell_length_b 4.386
_cell_length_c 10.627
_cell_angle_alpha 90.00
_cell_angle_beta 90.00
_cell_angle_gamma 89.98
_space_group_name_H-M_alt 'P 1'
_space_group_IT_number 1
loop_
_space_group_symop_operation_xyz
'x,y,z'
loop_
_atom_site_label
_atom_site_type_symbol
_atom_site_fract_x
_atom_site_fract_y
_atom_site_fract_z
_atom_site_occupancy
Ba1 Ba 0.000 0.000 0.990 1
Ba2 Ba 0.500 0.500 0.304 1
Li1 Li 0.000 0.000 0.511 1
Sr1 Sr 0.500 0.500 0.695 1
```

- total magnetization (μB/f.u.) = 0.00
- formation enthalpy at 0 K (eV per atom) = 0.025
- space group = No. 99

---

[6]
Entry from the Alexandria database: crystalline Ba3SrLi at its relaxed geometry (PBE-GGA).

CIF file:
```
data_Ba3SrLi
_chemical_formula_sum 'Ba3 Sr1 Li1'
_cell_length_a 6.683
_cell_length_b 6.683
_cell_length_c 6.683
_cell_angle_alpha 90.00
_cell_angle_beta 90.00
_cell_angle_gamma 90.00
_space_group_name_H-M_alt 'P 1'
_space_group_IT_number 1
loop_
_space_group_symop_operation_xyz
'x,y,z'
loop_
_atom_site_label
_atom_site_type_symbol
_atom_site_fract_x
_atom_site_fract_y
_atom_site_fract_z
_atom_site_occupancy
Ba1 Ba 0.000 0.500 0.000 1
Ba2 Ba 0.000 0.000 0.500 1
Ba3 Ba 0.500 0.000 0.000 1
Sr1 Sr 0.500 0.500 0.500 1
Li1 Li 0.000 0.000 0.000 1
```

- total magnetization (μB/f.u.) = 0.00
- formation enthalpy at 0 K (eV per atom) = 0.172
- space group = No. 221

---

[7]
Entry from the Alexandria database: crystalline BaSrLi at its relaxed geometry (PBE-GGA).

CIF file:
```
data_BaSrLi
_chemical_formula_sum 'Ba1 Sr1 Li1'
_cell_length_a 6.030
_cell_length_b 6.030
_cell_length_c 6.030
_cell_angle_alpha 60.00
_cell_angle_beta 60.00
_cell_angle_gamma 60.00
_space_group_name_H-M_alt 'P 1'
_space_group_IT_number 1
loop_
_space_group_symop_operation_xyz
'x,y,z'
loop_
_atom_site_label
_atom_site_type_symbol
_atom_site_fract_x
_atom_site_fract_y
_atom_site_fract_z
_atom_site_occupancy
Sr1 Sr 0.000 0.000 0.000 1
Ba1 Ba 0.500 0.500 0.500 1
Li1 Li 0.750 0.750 0.750 1
```

- total magnetization (μB/f.u.) = 0.00
- formation enthalpy at 0 K (eV per atom) = 0.177
- space group = No. 216

---

[8]
Entry from the Alexandria database: crystalline BaSr4Li5 at its relaxed geometry (PBE-GGA).

CIF file:
```
data_BaSr4Li5
_chemical_formula_sum 'Ba1 Sr4 Li5'
_cell_length_a 4.283
_cell_length_b 4.283
_cell_length_c 21.253
_cell_angle_alpha 90.00
_cell_angle_beta 90.00
_cell_angle_gamma 90.00
_space_group_name_H-M_alt 'P 1'
_space_group_IT_number 1
loop_
_space_group_symop_operation_xyz
'x,y,z'
loop_
_atom_site_label
_atom_site_type_symbol
_atom_site_fract_x
_atom_site_fract_y
_atom_site_fract_z
_atom_site_occupancy
Sr1 Sr 0.000 0.000 0.599 1
Sr2 Sr 0.000 0.000 0.204 1
Sr3 Sr 0.000 0.000 0.401 1
Sr4 Sr 0.000 0.000 0.796 1
Ba1 Ba 0.000 0.000 0.000 1
Li1 Li 0.500 0.500 0.109 1
Li2 Li 0.500 0.500 0.891 1
Li3 Li 0.500 0.500 0.697 1
Li4 Li 0.500 0.500 0.500 1
Li5 Li 0.500 0.500 0.303 1
```

- total magnetization (μB/f.u.) = 0.00
- formation enthalpy at 0 K (eV per atom) = 0.031
- space group = No. 123

---

[9]
Entry from the Alexandria database: crystalline BaSrLi2 at its relaxed geometry (PBE-GGA).

CIF file:
```
data_BaSrLi2
_chemical_formula_sum 'Ba1 Sr1 Li2'
_cell_length_a 7.998
_cell_length_b 7.998
_cell_length_c 7.998
_cell_angle_alpha 151.78
_cell_angle_beta 58.53
_cell_angle_gamma 129.86
_space_group_name_H-M_alt 'P 1'
_space_group_IT_number 1
loop_
_space_group_symop_operation_xyz
'x,y,z'
loop_
_atom_site_label
_atom_site_type_symbol
_atom_site_fract_x
_atom_site_fract_y
_atom_site_fract_z
_atom_site_occupancy
Li1 Li 0.755 0.000 0.755 1
Li2 Li 0.245 0.000 0.245 1
Ba1 Ba 0.500 0.000 0.500 1
Sr1 Sr 0.000 0.000 0.000 1
```

- total magnetization (μB/f.u.) = 0.00
- formation enthalpy at 0 K (eV per atom) = 0.377
- space group = No. 71

---

[10]
Entry from the Alexandria database: crystalline BaSrLi2 at its relaxed geometry (PBE-GGA).

CIF file:
```
data_BaSrLi2
_chemical_formula_sum 'Ba1 Sr1 Li2'
_cell_length_a 11.854
_cell_length_b 11.854
_cell_length_c 11.854
_cell_angle_alpha 19.98
_cell_angle_beta 19.98
_cell_angle_gamma 19.98
_space_group_name_H-M_alt 'P 1'
_space_group_IT_number 1
loop_
_space_group_symop_operation_xyz
'x,y,z'
loop_
_atom_site_label
_atom_site_type_symbol
_atom_site_fract_x
_atom_site_fract_y
_atom_site_fract_z
_atom_site_occupancy
Ba1 Ba 0.750 0.750 0.750 1
Li1 Li 0.999 0.999 0.999 1
Li2 Li 0.501 0.501 0.501 1
Sr1 Sr 0.250 0.250 0.250 1
```

- total magnetization (μB/f.u.) = 0.00
- formation enthalpy at 0 K (eV per atom) = 0.174
- space group = No. 166

---

[11]
Entry from the Alexandria database: crystalline BaSrLi at its relaxed geometry (PBE-GGA).

CIF file:
```
data_BaSrLi
_chemical_formula_sum 'Ba1 Sr1 Li1'
_cell_length_a 6.132
_cell_length_b 6.132
_cell_length_c 6.132
_cell_angle_alpha 60.00
_cell_angle_beta 60.00
_cell_angle_gamma 60.00
_space_group_name_H-M_alt 'P 1'
_space_group_IT_number 1
loop_
_space_group_symop_operation_xyz
'x,y,z'
loop_
_atom_site_label
_atom_site_type_symbol
_atom_site_fract_x
_atom_site_fract_y
_atom_site_fract_z
_atom_site_occupancy
Ba1 Ba 0.000 0.000 0.000 1
Sr1 Sr 0.750 0.750 0.750 1
Li1 Li 0.500 0.500 0.500 1
```

- total magnetization (μB/f.u.) = 0.00
- formation enthalpy at 0 K (eV per atom) = 0.483
- space group = No. 216

---

[12]
Entry from the Alexandria database: crystalline Ba3Sr4Li at its relaxed geometry (PBE-GGA).

CIF file:
```
data_Ba3Sr4Li
_chemical_formula_sum 'Ba3 Sr4 Li1'
_cell_length_a 4.374
_cell_length_b 4.374
_cell_length_c 22.778
_cell_angle_alpha 90.00
_cell_angle_beta 90.00
_cell_angle_gamma 90.00
_space_group_name_H-M_alt 'P 1'
_space_group_IT_number 1
loop_
_space_group_symop_operation_xyz
'x,y,z'
loop_
_atom_site_label
_atom_site_type_symbol
_atom_site_fract_x
_atom_site_fract_y
_atom_site_fract_z
_atom_site_occupancy
Ba1 Ba 0.500 0.500 0.773 1
Ba2 Ba 0.500 0.500 0.500 1
Ba3 Ba 0.500 0.500 0.227 1
Sr1 Sr 0.000 0.000 0.089 1
Sr2 Sr 0.000 0.000 0.636 1
Sr3 Sr 0.000 0.000 0.911 1
Sr4 Sr 0.000 0.000 0.364 1
Li1 Li 0.500 0.500 0.000 1
```

- total magnetization (μB/f.u.) = 0.00
- formation enthalpy at 0 K (eV per atom) = 0.019
- space group = No. 123

---

Question: The highest formation enthalpy at 0 K belongs to which entry?
Answer: Ba3SrLi3